# AlCdNi3 PBE-GGA optimized geometry
# **V**: 97.80 Å³ per cell
# **Energy**: -3.171 eV/atom
# **Calculated density**: 5356 kg/m3
# **Fermi-level density of states**: 1.119 states/eV per atom
data_AlCdNi3
_chemical_formula_sum 'Al1 Cd1 Ni3'
_cell_length_a 4.6073
_cell_length_b 4.6073
_cell_length_c 4.6073
_cell_angle_alpha 90.00
_cell_angle_beta 90.00
_cell_angle_gamma 90.00
_symmetry_space_group_name_H-M 'P m -3 m'
_symmetry_Int_Tables_number 221
_symmetry_space_group_name_Hall '-P 4 2 3'
loop_
_atom_site_label
_atom_site_fract_x
_atom_site_fract_y
_atom_site_fract_z
Al1 0.0000 0.0000 0.0000
Cd1 0.5000 0.5000 0.5000
Ni1 0.0000 0.5000 0.5000

# AlCd2Ni2 PBE-GGA optimized geometry
# **V**: 176.00 Å³ per cell
# **Energy**: -3.129 eV/atom
# **Calculated density**: 6967 kg/m3
# **Fermi-level density of states**: 0.343 states/eV per atom
data_AlCd2Ni2
_chemical_formula_sum 'Al2 Cd4 Ni4'
_cell_length_a 3.7790
_cell_length_b 3.7790
_cell_length_c 12.3238
_cell_angle_alpha 90.00
_cell_angle_beta 90.00
_cell_angle_gamma 90.00
_symmetry_space_group_name_H-M 'I 4/m m m'
_symmetry_Int_Tables_number 139
_symmetry_space_group_name_Hall '-I 4 2'
loop_
_atom_site_label
_atom_site_fract_x
_atom_site_fract_y
_atom_site_fract_z
Al1 0.0000 0.0000 0.0000
Cd1 0.0000 0.5000 0.2500
Ni1 0.0000 0.0000 0.4095

# AlCd2Ni PBE-GGA optimized geometry
# **V**: 135.12 Å³ per cell
# **Energy**: -2.780 eV/atom
# **Calculated density**: 7632 kg/m3
# **Fermi-level density of states**: 0.320 states/eV per atom
data_AlCd2Ni
_chemical_formula_sum 'Al2 Cd4 Ni2'
_cell_length_a 4.1063
_cell_length_b 4.1063
_cell_length_c 8.0134
_cell_angle_alpha 90.00
_cell_angle_beta 90.00
_cell_angle_gamma 90.00
_symmetry_space_group_name_H-M 'I -4 m 2'
_symmetry_Int_Tables_number 119
_symmetry_space_group_name_Hall 'I -4 -2'
loop_
_atom_site_label
_atom_site_fract_x
_atom_site_fract_y
_atom_site_fract_z
Al1 0.0000 0.0000 0.0000
Cd1 0.0000 0.0000 0.5000
Cd2 0.0000 0.5000 0.7500
Ni1 0.0000 0.5000 0.2500

# AlCd2Ni PBE-GGA optimized geometry
# **V**: 149.78 Å³ per cell
# **Energy**: -2.989 eV/atom
# **Calculated density**: 6885 kg/m3
# **Fermi-level density of states**: 0.407 states/eV per atom
data_AlCd2Ni
_chemical_formula_sum 'Al2 Cd4 Ni2'
_cell_length_a 13.9987
_cell_length_b 2.8299
_cell_length_c 3.9389
_cell_angle_alpha 90.00
_cell_angle_beta 106.28
_cell_angle_gamma 90.00
_symmetry_space_group_name_H-M 'C 1 2/m 1'
_symmetry_Int_Tables_number 12
_symmetry_space_group_name_Hall '-C 2y'
loop_
_atom_site_label
_atom_site_fract_x
_atom_site_fract_y
_atom_site_fract_z
Al1 0.0000 0.0000 0.0000
Cd1 0.1766 0.0000 0.6768
Ni1 0.0000 0.5000 0.5000

# Al2CdNi PBE-GGA optimized geometry
# **V**: 124.89 Å³ per cell
# **Energy**: -3.571 eV/atom
# **Calculated density**: 5985 kg/m3
# **Fermi-level density of states**: 0.512 states/eV per atom
data_Al2CdNi
_chemical_formula_sum 'Al4 Cd2 Ni2'
_cell_length_a 3.9294
_cell_length_b 3.9587
_cell_length_c 8.0289
_cell_angle_alpha 90.00
_cell_angle_beta 90.00
_cell_angle_gamma 90.00
_symmetry_space_group_name_H-M 'I m m 2'
_symmetry_Int_Tables_number 44
_symmetry_space_group_name_Hall 'I 2 -2'
loop_
_atom_site_label
_atom_site_fract_x
_atom_site_fract_y
_atom_site_fract_z
Al1 0.0000 0.0000 0.0000
Al2 0.0000 0.5000 0.2489
Cd1 0.0000 0.5000 0.7509
Ni1 0.0000 0.0000 0.5014

# Al2CdNi PBE-GGA optimized geometry
# **V**: 64.26 Å³ per cell
# **Energy**: -3.742 eV/atom
# **Calculated density**: 5816 kg/m3
# **Fermi-level density of states**: 0.550 states/eV per atom
data_Al2CdNi
_chemical_formula_sum 'Al2 Cd1 Ni1'
_cell_length_a 2.8687
_cell_length_b 2.8687
_cell_length_c 7.8087
_cell_angle_alpha 90.00
_cell_angle_beta 90.00
_cell_angle_gamma 90.00
_symmetry_space_group_name_H-M 'P 4/m m m'
_symmetry_Int_Tables_number 123
_symmetry_space_group_name_Hall '-P 4 2'
loop_
_atom_site_label
_atom_site_fract_x
_atom_site_fract_y
_atom_site_fract_z
Al1 0.0000 0.0000 0.1902
Cd1 0.5000 0.5000 0.5000
Ni1 0.5000 0.5000 0.0000

> What is the Fermi-level density of states in the third record?

0.320 states/eV per atom